No. 1
ZrFeCoPb: relaxed, PBE.

```
ZrFeCoPb
1.0
0.000 3.173 3.173
3.173 0.000 3.173
3.173 3.173 0.000
Zr Fe Co Pb
1 1 1 1
direct
0.000 0.000 0.000
0.250 0.250 0.250
0.750 0.750 0.750
0.500 0.500 0.500
```

Results
energy above the most stable polymorph in this dataset: 0 meV per atom

---

No. 2
ZrFeCoPb: relaxed, PBE.

```
ZrFeCoPb
1.0
0.000 3.262 3.262
3.262 0.000 3.262
3.262 3.262 0.000
Zr Fe Co Pb
1 1 1 1
direct
0.000 0.000 0.000
0.750 0.750 0.750
0.500 0.500 0.500
0.250 0.250 0.250
```

Results
energy above the most stable polymorph in this dataset: 249 meV per atom

---

No. 3
FeCoPd: relaxed, PBE.

```
FeCoPd
1.0
0.000 2.803 2.803
2.803 0.000 2.803
2.803 2.803 0.000
Fe Co Pd
1 1 1
direct
0.000 0.000 0.000
0.750 0.750 0.750
0.250 0.250 0.250
```

Results
ΔH_f (0 K): 0.42 eV/atom
energy above the most stable polymorph in this dataset: 0 meV per atom

---

No. 4
FeCoPd2: relaxed, PBE.

```
FeCoPd2
1.0
0.000 3.022 3.022
3.022 0.000 3.022
3.022 3.022 0.000
Fe Co Pd
1 1 2
direct
0.000 0.000 0.000
0.250 0.250 0.250
0.500 0.500 0.500
0.750 0.750 0.750
```

Results
ΔH_f (0 K): 0.09 eV/atom

---

Q: Which density values were calculated for the entries above? A: 10.7, 9.9, 8.3, 9.9, in g cm⁻³.